(1)
Density functional theory data (PBE) for crystalline LaYSe2N at its relaxed geometry.

Calculated values
E above lowest polymorph   0.389 eV/atom
Space group   P4/mmm, No. 123
Raw formation energy   -0.572 eV/atom

Lattice parameters (Å, degrees): 5.7069 5.7069 4.1945 90.00 90.00 90.00
Closest atoms and distances in Å follow each position.
Positions (direct):
La1 0.0000 0.0000 0.0000  2 N 2.10
Y1 0.5000 0.5000 0.5000  8 Se 3.54
Se1 0.0000 0.5000 0.0000  2 La 2.85
Se2 0.5000 0.0000 0.0000  2 La 2.85
N1 0.0000 0.0000 0.5000  2 La 2.10


(2)
Density functional theory data (PBE) for crystalline LuZrCoRh at its relaxed geometry.

Calculated values
Space group   F-43m, No. 216
Formation enthalpy at 0 K   -2.2 eV per formula unit

Lattice parameters (Å, degrees): 4.6382 4.6382 4.6382 60.00 60.00 60.00
Closest atoms and distances in Å follow each position.
Positions (direct):
Lu1 0.0000 0.0000 0.0000  4 Rh 2.84, 4 Co 2.84
Zr1 0.5000 0.5000 0.5000  4 Rh 2.84, 4 Co 2.84
Co1 0.2500 0.2500 0.2500  4 Zr 2.84, 4 Lu 2.84
Rh1 0.7500 0.7500 0.7500  4 Zr 2.84, 4 Lu 2.84